(1)
## LiYSb2 (PBE-GGA)

Data for a geometry-optimized LiYSb2 structure.

CIF file:
```
data_LiYSb2
_symmetry_space_group_name_H-M 'C 1 2/m 1'
_symmetry_Int_Tables_number 12
_cell_length_a 7.445
_cell_length_b 4.879
_cell_length_c 6.839
_cell_angle_alpha 90.00
_cell_angle_beta 119.73
_cell_angle_gamma 90.00
loop_
_symmetry_equiv_pos_as_xyz
'x,y,z'
'-x,-y,-z'
'-x,y,-z'
'x,-y,z'
'x+1/2,y+1/2,z'
'-x+1/2,-y+1/2,-z'
'-x+1/2,y+1/2,-z'
'x+1/2,-y+1/2,z'
loop_
_atom_site_label
_atom_site_type_symbol
_atom_site_fract_x
_atom_site_fract_y
_atom_site_fract_z
_atom_site_occupancy
Li1 Li 0.000 0.000 0.000 1
Y1 Y 0.000 0.000 0.500 1
Sb1 Sb 0.012 0.500 0.223 1
```

Formation energy from raw total energies ... -621 meV per atom
Energy above the most stable polymorph in this dataset ... 17.2 kJ/mol of atoms


(2)
## MnTlPd6 (PBE-GGA)

Data for a geometry-optimized MnTlPd6 structure.

CIF file:
```
data_MnTlPd6
_symmetry_space_group_name_H-M 'P 4/m m m'
_symmetry_Int_Tables_number 123
_symmetry_space_group_name_Hall '-P 4 2'
_cell_length_a 3.998
_cell_length_b 3.998
_cell_length_c 8.022
_cell_angle_alpha 90.00
_cell_angle_beta 90.00
_cell_angle_gamma 90.00
loop_
_atom_site_label
_atom_site_type_symbol
_atom_site_fract_x
_atom_site_fract_y
_atom_site_fract_z
_atom_site_occupancy
Mn1 Mn 0.000 0.000 0.000 1
Tl1 Tl 0.000 0.000 0.500 1
Pd1 Pd 0.000 0.500 0.237 1
Pd2 Pd 0.500 0.500 0.000 1
Pd3 Pd 0.500 0.500 0.500 1
```

DFT formation energy ... -201 meV per atom


(3)
## MgCuSb (PBE-GGA)

Data for a geometry-optimized MgCuSb structure.

CIF file:
```
data_MgCuSb
_symmetry_space_group_name_H-M 'C 1 m 1'
_symmetry_Int_Tables_number 8
_cell_length_a 7.581
_cell_length_b 4.375
_cell_length_c 7.612
_cell_angle_alpha 90.00
_cell_angle_beta 90.01
_cell_angle_gamma 90.00
loop_
_symmetry_equiv_pos_as_xyz
'x,y,z'
'x,-y,z'
'x+1/2,y+1/2,z'
'x+1/2,-y+1/2,z'
loop_
_atom_site_label
_atom_site_type_symbol
_atom_site_fract_x
_atom_site_fract_y
_atom_site_fract_z
_atom_site_occupancy
Mg1 Mg 0.000 0.000 0.000 1
Mg2 Mg 0.166 0.500 0.359 1
Cu1 Cu 0.166 0.500 0.728 1
Cu2 Cu 0.333 0.000 0.818 1
Sb1 Sb 0.333 0.000 0.172 1
Sb2 Sb 0.499 0.500 0.620 1
```

Formation energy from raw total energies ... -151 meV per atom


Total energy, record by record: -4.78 -5.54 -3.42 eV per atom
V, record by record: 107.9 128.2 63.1 Å³/f.u.